Arrangement a

Computed, not measured: a PBEsol-optimized structure of AsCI3 at the SCAN level of DFT.

The structure in POSCAR format:
```
AsCI3
1.0
4.9312 0.0000 0.0000
0.0000 4.9312 0.0000
0.0000 0.0000 4.9312
As C I
1 1 3
direct
0.0000 0.0000 0.0000
0.5000 0.5000 0.5000
0.0000 0.5000 0.5000
0.5000 0.0000 0.5000
0.5000 0.5000 0.0000
```

Calculated values
Size of the total moment in μB/f.u.: 0.0
Crystal system: cubic
N(E_F) in states/eV/cell: 2.1
Density in g cm⁻³: 6.48

***

Arrangement b

Computed, not measured: a PBEsol-optimized structure of AsCI3 at the SCAN level of DFT.

The structure in POSCAR format:
```
AsCI3
1.0
5.5713 0.0000 0.0000
0.0000 5.5713 0.0000
0.0000 0.0000 5.5713
As C I
1 1 3
direct
0.0000 0.0000 0.0000
0.5000 0.5000 0.5000
0.0000 0.0000 0.5000
0.0000 0.5000 0.0000
0.5000 0.0000 0.0000
```

Calculated values
Size of the total moment in μB/f.u.: 1.9
Crystal system: cubic
N(E_F) in states/eV/cell: 7.0
Density in g cm⁻³: 4.49

***

Stability, lowest: arrangement b